! DyVIn2O6 | Alexandria | GGA+U | relaxed; values from VASP
! - Space group: No. 146
! - Calculated total energy: -6.868 eV/atom
&SYSTEM
  ibrav = 0, nat = 10, ntyp = 4
/
ATOMIC_SPECIES
Dy 162.50 Dy.upf
V 50.94 V.upf
In 114.82 In.upf
O 16.00 O.upf
CELL_PARAMETERS angstrom
5.533 0.000 0.001
2.767 4.790 0.000
2.768 1.594 4.923
ATOMIC_POSITIONS crystal
Dy 0.807 0.807 0.580
V 0.318 0.318 0.047
In 0.529 0.529 0.414
In 0.021 0.021 0.938
O 0.597 0.217 0.247
O 0.218 0.939 0.247
O 0.939 0.596 0.247
O 0.406 0.699 0.765
O 0.699 0.130 0.765
O 0.130 0.407 0.765